# 1
K5PaSe5 | PBE | relaxed

```
11
Lattice="-4.834 3.182 2.057 0.197 -7.594 3.041 5.461 5.034 5.048" Properties=species:S:1:pos:R:3 pbc="T T T"
K -1.559 0.831 4.222
K 1.454 3.747 6.792
K 2.730 2.517 2.524
K -0.630 -3.125 3.353
K 2.383 -0.209 5.924
Pa 0.000 0.000 0.000
Se -3.223 -2.065 4.789
Se -0.143 0.841 7.533
Se -2.417 1.591 1.028
Se 0.967 -0.219 2.612
Se 4.047 2.686 5.357
```

Results
**Formation energy (no corrections)**: -14.19 eV/f.u.
**Space group**: No. 12

# 2
Ho2PaCo | PBE | relaxed

```
4
Lattice="3.291 0.000 0.000 1.646 2.850 0.000 1.646 0.950 10.279" Properties=species:S:1:pos:R:3 pbc="T T T"
Pa 0.000 0.000 0.000
Co 3.291 1.900 5.140
Ho 1.646 0.950 7.008
Ho 4.937 2.850 3.271
```

Results
**Energy of formation from the pure elements**: 0.299 eV per atom
**Space group**: No. 166

# 3
As2WAu | PBE | relaxed

```
8
Lattice="5.862 0.000 0.000 0.000 5.862 0.000 2.931 2.931 5.637" Properties=species:S:1:pos:R:3 pbc="T T T"
As 4.270 1.466 1.409
As 1.592 4.397 1.409
As 4.397 4.523 4.228
As 7.328 7.201 4.228
Au 0.000 0.000 0.000
Au 5.862 2.931 2.818
W 2.931 2.931 0.000
W 2.931 5.862 2.818
```

Results
**E above lowest polymorph**: 281 meV per atom
**Energy of formation from the pure elements**: 0.460 eV per atom
**Space group**: No. 122

# 4
Er7Tl2Sn2 | PBE | relaxed

```
11
Lattice="-5.176 2.325 3.819 -4.936 -2.083 -5.406 1.071 -6.572 1.565" Properties=species:S:1:pos:R:3 pbc="T T T"
Er -6.070 -1.568 3.034
Er -5.024 -6.886 -0.363
Er -2.971 -4.762 -3.056
Er -4.017 0.556 0.341
Er 0.000 0.000 0.000
Er -5.705 -3.662 -1.306
Er -3.336 -2.668 1.284
Tl -8.301 -2.338 -2.241
Tl -0.740 -3.992 2.218
Sn -5.830 -4.520 1.706
Sn -3.211 -1.810 -1.728
```

Results
**Energy of formation from the pure elements**: -0.100 eV per atom
**Space group**: No. 12

# 5
Sc3RuN | PBE | relaxed

```
5
Lattice="-3.157 3.713 0.370 -2.570 -2.515 3.312 2.706 1.944 3.576" Properties=species:S:1:pos:R:3 pbc="T T T"
Sc -1.285 -1.257 1.656
Sc 1.353 0.972 1.788
Sc -1.579 1.857 0.185
Ru 0.000 0.000 0.000
N -1.510 1.571 3.629
```

Results
**Formation energy (no corrections)**: 3.92 eV/f.u.
**Space group**: No. 221

# 6
SrSmTlAg | PBE | relaxed

```
4
Lattice="-1.476 -1.542 -3.195 0.789 -3.517 1.333 -7.227 -0.301 3.484" Properties=species:S:1:pos:R:3 pbc="T T T"
Sr -6.124 -0.255 2.952
Sm -2.700 -0.113 1.302
Tl -1.273 -2.568 -0.483
Ag -4.523 -2.704 1.084
```

Results
**E above lowest polymorph**: 0 meV per atom
**Energy of formation from the pure elements**: -0.331 eV per atom
**Space group**: No. 99

# 7
Sr3RhI2 | PBE | relaxed

```
24
Lattice="-3.087 0.604 -7.622 8.221 0.158 -0.618 -2.392 -14.014 2.969" Properties=species:S:1:pos:R:3 pbc="T T T"
Sr 3.359 -11.208 0.762
Sr -3.074 -11.004 -2.637
Sr -1.553 -9.544 1.323
Sr 1.793 -9.145 -2.900
Sr 3.191 -6.887 0.731
Sr 5.205 -6.589 -2.500
Sr 1.465 -4.128 -2.051
Sr 3.780 -3.688 -6.913
Sr -0.354 -2.006 -6.455
Sr 5.553 -2.288 -2.212
Sr 1.007 0.149 -1.616
Sr 4.128 0.612 -6.624
Rh 2.713 -10.964 -5.078
Rh 4.228 -9.027 -1.078
Rh 4.169 -4.449 -0.691
Rh 0.029 -2.289 -0.193
I -1.372 -13.076 -4.940
I 0.148 -11.536 -0.974
I -1.429 -8.612 -4.564
I 0.091 -7.072 -0.597
I 2.651 -6.181 -4.674
I -1.483 -4.418 -4.210
I 2.594 -1.716 -4.297
I -1.540 0.047 -3.833
```

Results
**Formation energy (no corrections)**: -5.66 eV/f.u.
**Space group**: No. 70

# 8
HfPSe2Br | PBE | relaxed

```
5
Lattice="4.892 0.000 0.000 0.000 4.892 0.000 0.000 0.000 4.735" Properties=species:S:1:pos:R:3 pbc="T T T"
P 0.000 0.000 0.000
Hf 2.446 2.446 2.368
Se 0.000 2.446 0.000
Se 2.446 0.000 0.000
Br 0.000 0.000 2.368
```

Results
**E above lowest polymorph**: 412 meV per atom
**Formation energy (no corrections)**: 2.02 eV/f.u.
**Space group**: No. 123